Entry 1:
PBE+U Li4Cr2Fe3Sb3O16, optimized geometry; crystal system = triclinic; E = -6.282 eV/atom; total magnetic moment = 0.4648 μB per atom
1.0
6.1023 0.0041 -0.0036
-2.9994 5.3662 -0.0191
-0.0827 -0.3445 9.6945
Cr O Li Sb Fe
2 16 4 3 3
Direct
0.3196 0.6516 0.5052 Cr
0.6535 0.3018 0.0257 Cr
0.5302 0.4839 0.1500 O
0.8262 0.1487 0.9000 O
0.4947 0.5385 0.6564 O
0.0435 0.5372 0.6577 O
0.9767 0.9748 0.1936 O
0.3471 0.6887 0.8990 O
0.9903 0.9846 0.6828 O
0.6629 0.8233 0.4001 O
0.8466 0.6867 0.8959 O
0.5275 0.0393 0.1544 O
0.9571 0.4704 0.1559 O
0.3213 0.1487 0.9016 O
0.1552 0.3284 0.4067 O
0.1485 0.8152 0.4028 O
0.4797 0.9676 0.6618 O
0.6817 0.3453 0.3975 O
0.0228 0.0439 0.0160 Li
0.3408 0.6724 0.1171 Li
0.0105 0.0151 0.4970 Li
0.6765 0.3531 0.5973 Li
0.6638 0.8332 0.7854 Sb
0.8245 0.6510 0.2863 Sb
0.1698 0.8335 0.7863 Sb
0.1705 0.3397 0.7826 Fe
0.8251 0.1613 0.2889 Fe
0.3329 0.1620 0.2881 Fe

---

Entry 2:
PBE+U Li4Cr2Fe3Sn3O16, optimized geometry; crystal system = monoclinic; E = -6.365 eV/atom; total magnetic moment = 0.7143 μB per atom
1.0
6.1072 -0.0051 -0.0086
3.0539 5.2888 -0.0086
0.0238 0.0137 9.6811
Sn O Fe Cr Li
3 16 3 2 4
Direct
0.1708 0.1708 0.7117 Sn
0.3392 0.8320 0.2124 Sn
0.8320 0.3392 0.2124 Sn
0.1626 0.6704 0.0994 O
0.5243 0.9598 0.3457 O
0.3402 0.3402 0.6022 O
0.0434 0.4850 0.8439 O
0.8331 0.3280 0.5964 O
0.9978 0.9978 0.3153 O
0.6704 0.1626 0.0994 O
0.4806 0.4806 0.8403 O
0.6721 0.6721 0.0978 O
0.9960 0.9960 0.8075 O
0.3280 0.8331 0.5964 O
0.8318 0.8318 0.6034 O
0.9598 0.5243 0.3457 O
0.5200 0.5200 0.3468 O
0.1629 0.1629 0.0930 O
0.4850 0.0434 0.8439 O
0.6607 0.1717 0.7142 Fe
0.1717 0.6607 0.7142 Fe
0.8314 0.8314 0.2165 Fe
0.6694 0.6694 0.4890 Cr
0.3380 0.3380 0.9819 Cr
0.6705 0.6705 0.8896 Li
0.3350 0.3350 0.3973 Li
0.9898 0.9898 0.4999 Li
0.9847 0.9847 0.9918 Li

---

Entry 3:
PBE+U Li4Cr3Fe2Sn3O16, optimized geometry; crystal system = triclinic; E = -6.425 eV/atom; total magnetic moment = 0.5000 μB per atom
1.0
6.0880 -0.0054 -0.0212
-3.0427 5.2784 0.0094
0.0015 -0.0711 9.6304
Sn O Li Cr Fe
3 16 4 3 2
Direct
0.3384 0.1700 0.2117 Sn
0.8311 0.6643 0.2099 Sn
0.1684 0.8238 0.7154 Sn
0.3362 0.6556 0.6044 O
0.5266 0.0421 0.3442 O
0.6673 0.8381 0.0956 O
0.4698 0.5083 0.8349 O
0.3268 0.1760 0.6035 O
0.9996 0.0038 0.8098 O
0.1617 0.3324 0.0974 O
0.4832 0.9483 0.8473 O
0.0469 0.5027 0.8432 O
0.9964 0.0078 0.3149 O
0.8347 0.6747 0.5972 O
0.6701 0.3283 0.0969 O
0.8496 0.1782 0.6119 O
0.9650 0.4806 0.3413 O
0.1608 0.8387 0.0897 O
0.5208 0.4855 0.3452 O
0.9857 0.0048 0.5002 Li
0.6664 0.3202 0.8921 Li
0.3364 0.6678 0.3952 Li
0.9828 0.0199 0.9921 Li
0.1714 0.3319 0.7119 Cr
0.6592 0.8247 0.7173 Cr
0.8303 0.1725 0.2137 Cr
0.6797 0.3406 0.4897 Fe
0.3352 0.6585 0.9815 Fe

---

Entry 4:
PBE+U Li4Ti3Cr3Fe2O16, optimized geometry; crystal system = triclinic; E = -7.384 eV/atom; total magnetic moment = 0.6429 μB per atom
1.0
5.9032 0.0015 -0.0009
-2.9374 5.1449 0.0007
-0.0607 -0.0276 9.6266
Fe Li O Cr Ti
2 4 16 3 3
Direct
0.6737 0.3390 0.4914 Fe
0.3419 0.6629 0.9902 Fe
0.3326 0.6769 0.3980 Li
0.6556 0.3210 0.8948 Li
0.0058 0.0127 0.9938 Li
0.9969 0.9936 0.4964 Li
0.5128 0.0447 0.3404 O
0.0021 0.9995 0.3098 O
0.1624 0.8302 0.0987 O
0.3253 0.6648 0.6041 O
0.0052 0.9970 0.8084 O
0.5156 0.4895 0.3378 O
0.4707 0.9543 0.8401 O
0.8488 0.1711 0.6042 O
0.3285 0.1697 0.6025 O
0.9602 0.4889 0.3370 O
0.6784 0.8308 0.0989 O
0.6569 0.3381 0.1052 O
0.8405 0.6723 0.6000 O
0.1663 0.3279 0.1014 O
0.0296 0.5056 0.8346 O
0.4678 0.5071 0.8328 O
0.1750 0.3283 0.7075 Cr
0.6588 0.8293 0.7137 Cr
0.8240 0.1670 0.2132 Cr
0.8598 0.6724 0.2058 Ti
0.3487 0.2008 0.2250 Ti
0.1563 0.8048 0.7225 Ti

---

Entry 5:
PBE+U Li4Ti2Cr3Fe3O16, optimized geometry; crystal system = monoclinic; E = -7.044 eV/atom; total magnetic moment = 0.6429 μB per atom
1.0
2.9523 5.0925 -0.0183
-2.9523 5.0925 -0.0183
0.0000 -0.0286 9.4759
O Li Cr Ti Fe
16 4 3 2 3
Direct
0.9997 0.9997 0.6919 O
0.9937 0.9937 0.1926 O
0.6635 0.1767 0.9087 O
0.5193 0.5193 0.6566 O
0.1767 0.6635 0.9087 O
0.4868 0.0428 0.1648 O
0.0428 0.4868 0.1648 O
0.9604 0.5153 0.6487 O
0.6721 0.6721 0.8960 O
0.4808 0.4808 0.1674 O
0.1705 0.1705 0.9086 O
0.8255 0.3236 0.4004 O
0.3236 0.8255 0.4004 O
0.3379 0.3379 0.3900 O
0.5153 0.9604 0.6487 O
0.8325 0.8325 0.3968 O
0.6715 0.6715 0.1051 Li
0.9952 0.9952 0.5054 Li
0.0005 0.0005 0.0048 Li
0.3335 0.3335 0.6006 Li
0.1680 0.1680 0.2866 Cr
0.3416 0.8319 0.7863 Cr
0.8319 0.3416 0.7863 Cr
0.3372 0.3372 0.0014 Ti
0.6615 0.6615 0.5162 Ti
0.8310 0.8310 0.7829 Fe
0.1675 0.6595 0.2859 Fe
0.6595 0.1675 0.2859 Fe

---

Entry 6:
PBE+U Li4Ti3Cr2Fe3O16, optimized geometry; crystal system = monoclinic; E = -7.246 eV/atom; total magnetic moment = 0.2792 μB per atom
1.0
-1.4841 5.3225 2.1555
-4.6214 2.9430 -2.2715
-5.8553 -4.1585 6.3847
Li Fe Ti O Cr
4 3 3 16 2
Direct
0.6667 0.6667 0.1076 Li
0.9977 0.9977 0.0042 Li
0.9986 0.9986 0.5027 Li
0.3319 0.3319 0.6059 Li
0.1677 0.6612 0.2871 Fe
0.6612 0.1677 0.2871 Fe
0.8307 0.8307 0.7867 Fe
0.1685 0.1685 0.2870 Ti
0.3374 0.8315 0.7865 Ti
0.8315 0.3374 0.7865 Ti
0.6611 0.6611 0.8969 O
0.1643 0.1643 0.8951 O
0.0402 0.4755 0.1590 O
0.8416 0.3293 0.3975 O
0.4755 0.0402 0.1590 O
0.5142 0.9583 0.6602 O
0.9583 0.5142 0.6602 O
0.0019 0.0019 0.1895 O
0.8362 0.8362 0.3994 O
0.3293 0.8416 0.3975 O
0.0033 0.0033 0.6887 O
0.3292 0.3292 0.3977 O
0.5196 0.5196 0.6628 O
0.1710 0.6728 0.8977 O
0.4790 0.4790 0.1604 O
0.6728 0.1710 0.8977 O
0.3344 0.3344 0.0160 Cr
0.6668 0.6668 0.5154 Cr

---

Entry 7:
PBE+U Li4V3Cr3Fe2O16, optimized geometry; crystal system = monoclinic; E = -7.025 eV/atom; total magnetic moment = 0.7500 μB per atom
1.0
5.8787 0.0392 0.0221
-2.8881 5.1205 -0.0023
0.0667 -0.0749 9.5877
O Cr V Fe Li
16 3 3 2 4
Direct
0.8350 0.1650 0.9030 O
0.8473 0.6776 0.8959 O
0.3202 0.6799 0.8962 O
0.5197 0.4802 0.1618 O
0.4632 0.9662 0.6646 O
0.9621 0.4864 0.1641 O
0.1700 0.8299 0.3950 O
0.6824 0.8274 0.3989 O
0.0339 0.5369 0.6646 O
0.1726 0.3175 0.3989 O
0.5136 0.0379 0.1641 O
0.6629 0.3370 0.3976 O
0.3225 0.1528 0.8959 O
0.0049 0.9950 0.1898 O
0.0029 0.9972 0.6917 O
0.4761 0.5240 0.6605 O
0.8328 0.1672 0.2887 Cr
0.6587 0.8345 0.7869 Cr
0.1656 0.3414 0.7869 Cr
0.8356 0.6568 0.2840 V
0.1697 0.8305 0.7834 V
0.3431 0.1643 0.2840 V
0.3401 0.6599 0.5076 Fe
0.6669 0.3332 0.0068 Fe
0.9968 0.0032 0.0039 Li
0.3338 0.6662 0.1072 Li
0.0075 0.9924 0.5047 Li
0.6604 0.3398 0.6057 Li

---

Entry 8:
PBE+U Li4V2Cr3Fe3O16, optimized geometry; crystal system = monoclinic; E = -6.774 eV/atom; total magnetic moment = 0.4299 μB per atom
1.0
2.9527 5.1105 -0.0091
-2.9527 5.1105 -0.0091
0.0000 0.1054 9.4531
O Li Cr Fe V
16 4 3 3 2
Direct
0.0433 0.4752 0.1518 O
0.8294 0.3487 0.4115 O
0.1735 0.1735 0.9051 O
0.5195 0.5195 0.6570 O
0.3487 0.8294 0.4115 O
0.6687 0.6687 0.8913 O
0.6508 0.1768 0.9113 O
0.4752 0.0433 0.1518 O
0.3366 0.3366 0.3965 O
0.9554 0.5162 0.6529 O
0.9964 0.9964 0.6971 O
0.0021 0.0021 0.1980 O
0.4809 0.4809 0.1489 O
0.1768 0.6508 0.9113 O
0.5162 0.9554 0.6529 O
0.8247 0.8247 0.4122 O
0.9984 0.9984 0.5081 Li
0.3313 0.3313 0.6007 Li
0.0018 0.0018 0.0083 Li
0.6679 0.6679 0.0981 Li
0.8259 0.3436 0.7834 Cr
0.3436 0.8259 0.7834 Cr
0.1743 0.1743 0.2870 Cr
0.1757 0.6553 0.2814 Fe
0.6553 0.1757 0.2814 Fe
0.8287 0.8287 0.7879 Fe
0.6681 0.6681 0.5073 V
0.3310 0.3310 0.0042 V